Below is an optimized crystal structure of BiAs2Au2, with properties calculated at the PBE level.

Calculated values
Formation energy in kcal/mol of atoms: 4.67
N(E_F) in states/eV per atom: 0.40

Cell lengths 8.3208, 8.3208, 3.1837 Å; angles 90.00, 90.00, 90.00 degrees
Positions (direct):
Bi 0.0000 0.0000 0.0000
Bi 0.5000 0.5000 0.0000
As 0.1936 0.3064 0.0000
As 0.3064 0.8064 0.0000
As 0.6936 0.1936 0.0000
As 0.8064 0.6936 0.0000
Au 0.1191 0.6191 0.5000
Au 0.3809 0.1191 0.5000
Au 0.6191 0.8809 0.5000
Au 0.8809 0.3809 0.5000


Below is an optimized crystal structure of BiAs2Au, with properties calculated at the PBE level.

Calculated values
Formation energy in kcal/mol of atoms: 1.84
N(E_F) in states/eV per atom: 0.73

Cell lengths 6.8601, 6.8601, 6.8601 Å; angles 34.64, 34.64, 34.64 degrees
Positions (direct):
Bi 0.0000 0.0000 0.0000
As 0.2368 0.2368 0.2368
As 0.7632 0.7632 0.7632
Au 0.5000 0.5000 0.5000


Below is an optimized crystal structure of BiAs2Au2, with properties calculated at the PBE level.

Calculated values
Formation energy in kcal/mol of atoms: 4.85
N(E_F) in states/eV per atom: 0.61

Cell lengths 7.8179, 7.8179, 3.4987 Å; angles 90.00, 90.00, 90.00 degrees
Positions (direct):
Bi 0.0000 0.0000 0.0000
Bi 0.5000 0.5000 0.0000
As 0.1720 0.3280 0.5000
As 0.3280 0.8280 0.5000
As 0.6720 0.1720 0.5000
As 0.8280 0.6720 0.5000
Au 0.1295 0.6295 0.0000
Au 0.3705 0.1295 0.0000
Au 0.6295 0.8705 0.0000
Au 0.8705 0.3705 0.0000


Below is an optimized crystal structure of BiAs2Au, with properties calculated at the PBE level.

Calculated values
Formation energy in kcal/mol of atoms: 2.99
N(E_F) in states/eV per atom: 0.34

Cell lengths 7.6188, 7.6188, 7.6188 Å; angles 132.31, 132.31, 69.74 degrees
Positions (direct):
Bi 0.0000 0.0000 0.0000
Bi 0.7500 0.2500 0.5000
As 0.1638 0.6250 0.0388
As 0.3750 0.4138 0.5388
As 0.5862 0.1250 0.9612
As 0.8750 0.8362 0.4612
Au 0.2500 0.7500 0.5000
Au 0.5000 0.5000 0.0000


Below is an optimized crystal structure of Bi2AsAu2, with properties calculated at the PBE level.

Calculated values
Formation energy in kcal/mol of atoms: 2.64
N(E_F) in states/eV per atom: 0.54

Cell lengths 8.6817, 8.6817, 8.6817 Å; angles 154.11, 154.11, 36.94 degrees
Positions (direct):
Bi 0.1010 0.1010 0.0000
Bi 0.8990 0.8990 0.0000
As 0.5000 0.5000 0.0000
Au 0.2500 0.7500 0.5000
Au 0.7500 0.2500 0.5000


Below is an optimized crystal structure of BiAs2Au, with properties calculated at the PBE level.

Calculated values
Formation energy in kcal/mol of atoms: -0.40
N(E_F) in states/eV per atom: 0.38

Cell lengths 6.2589, 6.2589, 4.8562 Å; angles 110.06, 110.06, 33.89 degrees
Positions (direct):
Bi 0.0000 0.0000 0.0000
As 0.2664 0.2664 0.3435
As 0.7336 0.7336 0.6565
Au 0.5000 0.5000 0.5000


Below is an optimized crystal structure of BiAsAuBr2, with properties calculated at the PBE level.

Calculated values
N(E_F) in states/eV per atom: 0.79
Raw formation energy in eV per atom: 0.3695

Cell lengths 5.1690, 5.1690, 5.3058 Å; angles 90.00, 90.00, 90.00 degrees
Positions (direct):
Bi 0.0000 0.0000 0.0000
As 0.5000 0.5000 0.0000
Au 0.5000 0.5000 0.5000
Br 0.0000 0.5000 0.5000
Br 0.5000 0.0000 0.5000


Below is an optimized crystal structure of Cr2BiAsAu, with properties calculated at the PBE level.

Calculated values
Formation energy in kcal/mol of atoms: 10.63
N(E_F) in states/eV per atom: 0.36

Cell lengths 4.7990, 4.7990, 4.9709 Å; angles 90.00, 90.00, 90.00 degrees
Positions (direct):
Cr 0.0000 0.5000 0.0000
Cr 0.5000 0.0000 0.0000
Bi 0.0000 0.0000 0.5000
As 0.5000 0.5000 0.0000
Au 0.5000 0.5000 0.5000


Below is an optimized crystal structure of EuBiAsAu, with properties calculated at the PBE level.

Calculated values
Formation energy in kcal/mol of atoms: -10.80
N(E_F) in states/eV per atom: 0.60

Cell lengths 5.2099, 5.2099, 5.2099 Å; angles 60.00, 60.00, 60.00 degrees
Positions (direct):
Eu 0.0000 0.0000 0.0000
Bi 0.5000 0.5000 0.5000
As 0.2500 0.2500 0.2500
Au 0.7500 0.7500 0.7500


Below is an optimized crystal structure of Bi2AsHAu, with properties calculated at the PBE level.

Calculated values
Total energy in eV per atom: -3.45
N(E_F) in states/eV per atom: 0.58

Cell lengths 5.3050, 5.3050, 3.6834 Å; angles 90.00, 90.00, 90.00 degrees
Positions (direct):
Bi 0.0000 0.5000 0.0000
Bi 0.5000 0.0000 0.0000
As 0.0000 0.0000 0.5000
H 0.0000 0.0000 0.0000
Au 0.5000 0.5000 0.5000


Below is an optimized crystal structure of BiAs2AuI, with properties calculated at the PBE level.

Calculated values
N(E_F) in states/eV per atom: 0.90
Raw formation energy in eV per atom: 1.0761

Cell lengths 5.5254, 5.5254, 6.1168 Å; angles 90.00, 90.00, 90.00 degrees
Positions (direct):
Bi 0.0000 0.0000 0.0000
As 0.0000 0.5000 0.0000
As 0.5000 0.0000 0.0000
Au 0.5000 0.5000 0.5000
I 0.0000 0.0000 0.5000


Below is an optimized crystal structure of BiAs2IrAu, with properties calculated at the PBE level.

Calculated values
Formation energy in kcal/mol of atoms: 10.90
N(E_F) in states/eV per atom: 0.66

Cell lengths 4.6380, 4.6380, 5.9990 Å; angles 90.00, 90.00, 90.00 degrees
Positions (direct):
Bi 0.0000 0.0000 0.0000
As 0.0000 0.5000 0.5000
As 0.5000 0.0000 0.5000
Ir 0.0000 0.0000 0.5000
Au 0.5000 0.5000 0.0000


Below is an optimized crystal structure of Nb2BiAsAu, with properties calculated at the PBE level.

Calculated values
Formation energy in kcal/mol of atoms: 38.37
N(E_F) in states/eV per atom: 0.83

Cell lengths 5.3970, 5.3970, 5.1384 Å; angles 90.00, 90.00, 90.00 degrees
Positions (direct):
Nb 0.0000 0.5000 0.0000
Nb 0.5000 0.0000 0.0000
Bi 0.0000 0.0000 0.0000
As 0.5000 0.5000 0.5000
Au 0.0000 0.0000 0.5000


Below is an optimized crystal structure of BiAsPbAu, with properties calculated at the PBE level.

Calculated values
Formation energy in kcal/mol of atoms: 2.96
N(E_F) in states/eV per atom: 0.82

Cell lengths 5.2179, 5.2179, 5.2179 Å; angles 60.00, 60.00, 60.00 degrees
Positions (direct):
Bi 0.0000 0.0000 0.0000
As 0.7500 0.7500 0.7500
Pb 0.5000 0.5000 0.5000
Au 0.2500 0.2500 0.2500


Below is an optimized crystal structure of PmBiAsAu, with properties calculated at the PBE level.

Calculated values
Formation energy in kcal/mol of atoms: -11.32
N(E_F) in states/eV per atom: 0.72

Cell lengths 5.1864, 5.1864, 5.1864 Å; angles 60.00, 60.00, 60.00 degrees
Positions (direct):
Pm 0.0000 0.0000 0.0000
Bi 0.5000 0.5000 0.5000
As 0.7500 0.7500 0.7500
Au 0.2500 0.2500 0.2500


Below is an optimized crystal structure of BiAs2RhAu, with properties calculated at the PBE level.

Calculated values
Formation energy in kcal/mol of atoms: 6.93
N(E_F) in states/eV per atom: 0.86

Cell lengths 4.7196, 4.7196, 5.2523 Å; angles 90.00, 90.00, 90.00 degrees
Positions (direct):
Bi 0.0000 0.0000 0.0000
As 0.0000 0.5000 0.5000
As 0.5000 0.0000 0.5000
Rh 0.5000 0.5000 0.5000
Au 0.5000 0.5000 0.0000


Below is an optimized crystal structure of Bi2AsAuSe, with properties calculated at the PBE level.

Calculated values
N(E_F) in states/eV per atom: 0.83
Raw formation energy in eV per atom: 0.6497

Cell lengths 5.6182, 5.6182, 4.8828 Å; angles 90.00, 90.00, 90.00 degrees
Positions (direct):
Bi 0.0000 0.5000 0.0000
Bi 0.5000 0.0000 0.0000
As 0.0000 0.0000 0.5000
Au 0.5000 0.5000 0.0000
Se 0.5000 0.5000 0.5000


Below is an optimized crystal structure of BiAsAuSe2, with properties calculated at the PBE level.

Calculated values
N(E_F) in states/eV per atom: 0.81
Raw formation energy in eV per atom: 0.4721

Cell lengths 5.1567, 5.1567, 4.9313 Å; angles 90.00, 90.00, 90.00 degrees
Positions (direct):
Bi 0.0000 0.0000 0.0000
As 0.5000 0.5000 0.0000
Au 0.5000 0.5000 0.5000
Se 0.0000 0.5000 0.5000
Se 0.5000 0.0000 0.5000


Below is an optimized crystal structure of BiAs2AuSe, with properties calculated at the PBE level.

Calculated values
N(E_F) in states/eV per atom: 1.27
Raw formation energy in eV per atom: 0.5911

Cell lengths 5.0181, 5.0181, 5.1833 Å; angles 90.00, 90.00, 90.00 degrees
Positions (direct):
Bi 0.0000 0.0000 0.0000
As 0.0000 0.5000 0.5000
As 0.5000 0.0000 0.5000
Au 0.5000 0.5000 0.5000
Se 0.5000 0.5000 0.0000


Below is an optimized crystal structure of SnBiAsAu, with properties calculated at the PBE level.

Calculated values
Formation energy in kcal/mol of atoms: 1.67
N(E_F) in states/eV per atom: 0.45

Cell lengths 3.8819, 3.8819, 7.4256 Å; angles 90.02, 90.02, 90.00 degrees
Positions (direct):
Sn 0.0000 0.0000 0.0000
Bi 0.9969 0.9969 0.4179
As 0.4969 0.4969 0.5467
Au 0.5002 0.5002 0.8987


Below is an optimized crystal structure of SrBi2AsAu, with properties calculated at the PBE level.

Calculated values
Formation energy in kcal/mol of atoms: -1.16
N(E_F) in states/eV per atom: 0.80

Cell lengths 5.7204, 5.7204, 4.9982 Å; angles 90.00, 90.00, 90.00 degrees
Positions (direct):
Sr 0.0000 0.0000 0.0000
Bi 0.0000 0.5000 0.5000
Bi 0.5000 0.0000 0.5000
As 0.5000 0.5000 0.5000
Au 0.5000 0.5000 0.0000


Below is an optimized crystal structure of TlBiAs2Au, with properties calculated at the PBE level.

Calculated values
Formation energy in kcal/mol of atoms: 11.34
N(E_F) in states/eV per atom: 0.56

Cell lengths 5.1037, 5.1037, 5.4933 Å; angles 90.00, 90.00, 90.00 degrees
Positions (direct):
Tl 0.0000 0.0000 0.0000
Bi 0.5000 0.5000 0.0000
As 0.0000 0.5000 0.5000
As 0.5000 0.0000 0.5000
Au 0.0000 0.0000 0.5000


Below is an optimized crystal structure of YBi2AsAu, with properties calculated at the PBE level.

Calculated values
Formation energy in kcal/mol of atoms: 15.77
N(E_F) in states/eV per atom: 0.73

Cell lengths 5.9299, 5.9299, 5.2887 Å; angles 90.00, 90.00, 90.00 degrees
Positions (direct):
Y 0.0000 0.0000 0.0000
Bi 0.0000 0.5000 0.0000
Bi 0.5000 0.0000 0.0000
As 0.5000 0.5000 0.5000
Au 0.0000 0.0000 0.5000


Below is an optimized crystal structure of AsAu2Br, with properties calculated at the PBE level.

Calculated values
N(E_F) in states/eV per atom: 0.39
Raw formation energy in eV per atom: 0.1592

Cell lengths 5.0967, 5.0967, 3.7480 Å; angles 90.00, 90.00, 112.31 degrees
Positions (direct):
As 0.0000 0.0000 0.0000
Au 0.2197 0.7803 0.5000
Au 0.7803 0.2197 0.5000
Br 0.5000 0.5000 0.0000


Below is an optimized crystal structure of AsAu2Br, with properties calculated at the PBE level.

Calculated values
N(E_F) in states/eV per atom: 0.16
Raw formation energy in eV per atom: 0.1059

Cell lengths 6.9974, 6.9974, 6.9974 Å; angles 124.68, 124.68, 82.07 degrees
Positions (direct):
As 0.0000 0.0000 0.0000
As 0.7500 0.2500 0.5000
Au 0.0773 0.6250 0.9523
Au 0.3750 0.3273 0.4523
Au 0.6727 0.1250 0.0477
Au 0.8750 0.9227 0.5477
Br 0.2500 0.7500 0.5000
Br 0.5000 0.5000 0.0000


Below is an optimized crystal structure of As2AuBr, with properties calculated at the PBE level.

Calculated values
N(E_F) in states/eV per atom: 0.37
Raw formation energy in eV per atom: 0.1773

Cell lengths 2.8370, 4.3111, 8.1480 Å; angles 90.00, 90.00, 90.00 degrees
Positions (direct):
As 0.0000 0.0000 0.1564
As 0.0000 0.0000 0.8436
Au 0.5000 0.5000 0.0000
Br 0.5000 0.5000 0.5000


Below is an optimized crystal structure of As2AuBr, with properties calculated at the PBE level.

Calculated values
N(E_F) in states/eV per atom: 0.36
Raw formation energy in eV per atom: 0.2499

Cell lengths 3.7158, 3.7158, 6.6644 Å; angles 90.00, 90.00, 90.00 degrees
Positions (direct):
As 0.0000 0.0000 0.1793
As 0.0000 0.0000 0.8207
Au 0.5000 0.5000 0.0000
Br 0.5000 0.5000 0.5000


Below is an optimized crystal structure of AsAu2Br, with properties calculated at the PBE level.

Calculated values
N(E_F) in states/eV per atom: 0.06
Raw formation energy in eV per atom: 0.0357

Cell lengths 3.8551, 3.6959, 7.1202 Å; angles 90.00, 93.26, 90.00 degrees
Positions (direct):
As 0.0000 0.0000 0.0000
Au 0.3814 0.5000 0.8786
Au 0.7279 0.0000 0.6686
Br 0.7043 0.5000 0.3947


Below is an optimized crystal structure of AsAu2Br, with properties calculated at the PBE level.

Calculated values
N(E_F) in states/eV per atom: 0.24
Raw formation energy in eV per atom: 0.3248

Cell lengths 6.4014, 6.4014, 4.7199 Å; angles 111.43, 111.43, 28.18 degrees
Positions (direct):
As 0.0000 0.0000 0.0000
Au 0.2893 0.2893 0.7888
Au 0.7107 0.7107 0.2112
Br 0.5000 0.5000 0.5000